The following is a PBE-GGA calculation of an optimized crystal structure of HfZn2Rh2, from the Alexandria database.

Unit cell a=7.120 b=7.120 c=3.099 alpha=90.00 beta=90.00 gamma=90.00
Fractional coordinates of all 10 atoms:
Hf (0.000, 0.000, 0.000)
Hf (0.500, 0.500, 0.000)
Zn (0.148, 0.352, 0.500)
Zn (0.352, 0.852, 0.500)
Zn (0.648, 0.148, 0.500)
Zn (0.852, 0.648, 0.500)
Rh (0.149, 0.649, 0.000)
Rh (0.351, 0.149, 0.000)
Rh (0.649, 0.851, 0.000)
Rh (0.851, 0.351, 0.000)

VASP energy, eV/cell: -59.24
M_tot, μB/atom: 0.0000
Offset from the most stable computed form, eV/f.u.: 0.479
Energy of formation from the pure elements, meV/atom: -482.7

---

The following is a PBE-GGA calculation of an optimized crystal structure of Hf2ZnRh2, from the Alexandria database.

Unit cell a=7.369 b=7.369 c=3.283 alpha=90.00 beta=90.00 gamma=90.00
Fractional coordinates of all 10 atoms:
Hf (0.165, 0.335, 0.000)
Hf (0.335, 0.835, 0.000)
Hf (0.665, 0.165, 0.000)
Hf (0.835, 0.665, 0.000)
Zn (0.000, 0.000, 0.500)
Zn (0.500, 0.500, 0.500)
Rh (0.137, 0.637, 0.500)
Rh (0.363, 0.137, 0.500)
Rh (0.637, 0.863, 0.500)
Rh (0.863, 0.363, 0.500)

VASP energy, eV/cell: -78.26
M_tot, μB/atom: 0.0000
Energy of formation from the pure elements, meV/atom: -649.1

---

Copy entry 2 word for word.
The following is a PBE-GGA calculation of an optimized crystal structure of Hf2ZnRh2, from the Alexandria database.

Unit cell a=7.369 b=7.369 c=3.283 alpha=90.00 beta=90.00 gamma=90.00
Fractional coordinates of all 10 atoms:
Hf (0.165, 0.335, 0.000)
Hf (0.335, 0.835, 0.000)
Hf (0.665, 0.165, 0.000)
Hf (0.835, 0.665, 0.000)
Zn (0.000, 0.000, 0.500)
Zn (0.500, 0.500, 0.500)
Rh (0.137, 0.637, 0.500)
Rh (0.363, 0.137, 0.500)
Rh (0.637, 0.863, 0.500)
Rh (0.863, 0.363, 0.500)

VASP energy, eV/cell: -78.26
M_tot, μB/atom: 0.0000
Energy of formation from the pure elements, meV/atom: -649.1

---

- M_tot of number 2 (Hf2ZnRh2)?
  0.0000 μB/atom

---

- The highest VASP energy belongs to which entry?
  HfZn2Rh2